First-principles (PBE) data for a relaxed structure of CeEr2Pu, as listed in the Alexandria database.

Properties
D(E_F)	12.87	states/eV/f.u.
ΔH_f (0 K)	0.13	eV per atom
crystal system	tetragonal
M_tot	7.3	Bohr magnetons per cell
calculated total energy	-28.89	eV/cell

CIF file:
```
data_CeEr2Pu
_chemical_formula_sum 'Ce1 Er2 Pu1'
_space_group_name_H-M_alt 'P 4/m m m'
_space_group_IT_number 123
_space_group_name_Hall '-P 4 2'
_cell_length_a 4.7666
_cell_length_b 4.7666
_cell_length_c 5.1196
_cell_angle_alpha 90.00
_cell_angle_beta 90.00
_cell_angle_gamma 90.00
loop_
_atom_site_label
_atom_site_fract_x
_atom_site_fract_y
_atom_site_fract_z
Ce1 0.0000 0.0000 0.0000
Er1 0.0000 0.5000 0.5000
Pu1 0.5000 0.5000 0.0000
```